# Ho6Er12Cd (GGA-PBE, optimized geometry)
# volume	1756.5	Å³ per cell
# N(E_F)	29.18	states/eV/f.u.
# calculated total energy	-243.08	eV/cell
data_Ho6Er12Cd
_space_group_name_H-M_alt 'R -3'
_space_group_IT_number 148
_space_group_name_Hall '-R 3'
_cell_length_a 11.7067
_cell_length_b 11.7067
_cell_length_c 14.7998
_cell_angle_alpha 90.00
_cell_angle_beta 90.00
_cell_angle_gamma 120.00
loop_
_atom_site_label
_atom_site_type_symbol
_atom_site_fract_x
_atom_site_fract_y
_atom_site_fract_z
_atom_site_occupancy
Ho1 Ho 0.0197 0.5921 0.1888 1
Er1 Er 0.0060 0.8284 0.3139 1
Er2 Er 0.0468 0.1960 0.9153 1
Cd1 Cd 0.0000 0.0000 0.5000 1